Here is a geometry-optimized TmNbRh2 structure from Alexandria. Energies are from GGA-PBE.

Properties
formation enthalpy at 0 K	-0.519	eV/atom
E above lowest polymorph	0.061	eV/atom
space-group type	Fm-3m

```
4
Lattice="0.0000 3.2837 3.2837 3.2837 0.0000 3.2837 3.2837 3.2837 0.0000" Properties=species:S:1:pos:R:3 pbc="T T T"
Tm 0.0000 0.0000 0.0000
Nb 3.2837 3.2837 3.2837
Rh 1.6419 1.6419 1.6419
Rh 4.9256 4.9256 4.9256
```

---

Here is a geometry-optimized Ac3Cd5O12 structure from Alexandria. Energies are from GGA-PBE.

Properties
formation energy (no corrections)	-1.587	eV/atom
space-group type	Ia-3d

```
80
Lattice="-6.9326 6.9326 6.9326 6.9326 -6.9326 6.9326 6.9326 6.9326 -6.9326" Properties=species:S:1:pos:R:3 pbc="T T T"
Ac 3.4663 1.7332 0.0000
Ac 6.9326 3.4663 -1.7332
Ac 1.7332 0.0000 3.4663
Ac 8.6658 0.0000 3.4663
Ac 0.0000 3.4663 1.7332
Ac 3.4663 -1.7332 6.9326
Ac 3.4663 8.6658 0.0000
Ac 6.9326 3.4663 5.1995
Ac -1.7332 6.9326 3.4663
Ac 5.1995 6.9326 3.4663
Ac 0.0000 3.4663 8.6658
Ac 3.4663 5.1995 6.9326
Cd 0.0000 0.0000 0.0000
Cd 3.4663 3.4663 -3.4663
Cd 3.4663 -3.4663 3.4663
Cd 6.9326 0.0000 0.0000
Cd 10.3990 1.7332 0.0000
Cd 6.9326 -3.4663 5.1995
Cd 5.1995 6.9326 -3.4663
Cd 5.1995 0.0000 3.4663
Cd 3.4663 5.1995 0.0000
Cd 6.9326 3.4663 1.7332
Cd -3.4663 3.4663 3.4663
Cd 0.0000 6.9326 0.0000
Cd 0.0000 0.0000 6.9326
Cd 3.4663 3.4663 3.4663
Cd 0.0000 3.4663 5.1995
Cd 3.4663 1.7332 6.9326
Cd 1.7332 6.9326 3.4663
Cd 1.7332 0.0000 10.3990
Cd 0.0000 10.3990 1.7332
Cd -3.4663 5.1995 6.9326
O 2.0958 -0.2787 0.8589
O 8.3031 4.3253 -3.7450
O 9.0285 0.2787 0.8589
O 8.3031 -2.6074 3.7450
O 6.6540 -0.8589 2.0958
O 10.6776 -1.3705 2.6074
O 0.8589 2.0958 -0.2787
O 9.5400 3.1877 -1.3705
O 4.3253 3.7450 -1.3705
O 6.0737 2.0958 0.2787
O -0.2787 0.8589 2.0958
O 3.7450 -1.3705 4.3253
O 6.6540 6.0737 -2.0958
O 3.7450 1.3705 2.6074
O 4.3253 -3.7450 8.3031
O 6.0737 -2.0958 6.6540
O 2.6074 3.7450 1.3705
O 7.7916 4.8368 0.2787
O 3.7450 8.3031 -2.6074
O 6.6540 0.8589 4.8368
O 2.0958 6.6540 -0.8589
O 8.3031 2.6074 3.1877
O 1.3705 2.6074 3.7450
O 2.0958 0.2787 6.0737
O 4.8368 6.6540 0.8589
O 5.5622 4.3253 3.1877
O -1.3705 4.3253 3.7450
O 4.8368 0.2787 7.7916
O 0.2787 6.0737 2.0958
O 3.1877 -1.3705 9.5400
O -0.8589 2.0958 6.6540
O 4.3253 3.1877 5.5622
O 0.8589 9.0285 0.2787
O 2.6074 10.6776 -1.3705
O 3.1877 5.5622 4.3253
O 0.2787 0.8589 9.0285
O 3.1877 8.3031 2.6074
O 7.2113 6.0737 4.8368
O 0.8589 4.8368 6.6540
O 2.6074 3.1877 8.3031
O -2.6074 3.7450 8.3031
O 6.0737 4.8368 7.2113
O -3.7450 8.3031 4.3253
O 0.2787 7.7916 4.8368
O -1.3705 9.5400 3.1877
O -2.0958 6.6540 6.0737
O -1.3705 2.6074 10.6776
O 4.8368 7.2113 6.0737
```

---

Here is a geometry-optimized RbPtBr structure from Alexandria. Energies are from GGA-PBE.

Properties
formation energy (no corrections)	-0.575	eV/atom
E above lowest polymorph	0.087	eV/atom
space-group type	Cm

```
6
Lattice="8.8451 -2.5617 0.0000 8.8451 2.5617 0.0000 -1.3502 0.0000 4.8378" Properties=species:S:1:pos:R:3 pbc="T T T"
Rb 0.0000 0.0000 0.0000
Rb 12.2036 0.0000 3.6998
Pt 5.3700 0.0000 4.2497
Pt 6.5422 0.0000 1.9689
Br 4.1456 0.0000 1.3073
Br 8.8920 0.0000 2.6163
```

---

Here is a geometry-optimized Ca3FeCl structure from Alexandria. Energies are from GGA-PBE.

Properties
formation energy (no corrections)	-0.042	eV/atom
E above lowest polymorph	0.000	eV/atom
space-group type	Pm-3m

```
5
Lattice="5.3346 0.0000 0.0000 0.0000 5.3346 0.0000 0.0000 0.0000 5.3346" Properties=species:S:1:pos:R:3 pbc="T T T"
Ca 0.0000 0.0000 2.6673
Ca 0.0000 2.6673 0.0000
Ca 2.6673 0.0000 0.0000
Fe 2.6673 2.6673 2.6673
Cl 0.0000 0.0000 0.0000
```

---

Here is a geometry-optimized Pr4Tm4Th structure from Alexandria. Energies are from GGA-PBE.

Properties
formation enthalpy at 0 K	0.046	eV/atom
space-group type	I4/mmm

```
9
Lattice="-5.3943 5.3943 2.5614 5.3943 -5.3943 2.5614 5.3943 5.3943 -2.5614" Properties=species:S:1:pos:R:3 pbc="T T T"
Pr 1.7673 1.7673 0.0000
Pr 3.6270 -3.6270 2.5614
Pr -3.6270 3.6270 2.5614
Pr 3.6270 3.6270 2.5614
Tm 5.3943 1.7815 0.0000
Tm 1.7815 5.3943 0.0000
Tm 3.6128 0.0000 2.5614
Tm 0.0000 3.6128 2.5614
Th 0.0000 0.0000 2.5614
```

---

Here is a geometry-optimized HfVCr2Ge structure from Alexandria. Energies are from GGA-PBE.

Properties
formation enthalpy at 0 K	1.223	eV/atom
space-group type	P4/mmm

```
5
Lattice="4.3412 0.0000 0.0000 0.0000 4.3412 0.0000 0.0000 0.0000 4.8825" Properties=species:S:1:pos:R:3 pbc="T T T"
Hf 0.0000 0.0000 0.0000
V 2.1706 2.1706 0.0000
Cr 0.0000 2.1706 2.4413
Cr 2.1706 0.0000 2.4413
Ge 0.0000 0.0000 2.4413
```

---

Please write out number 1 again, unchanged.
Here is a geometry-optimized TmNbRh2 structure from Alexandria. Energies are from GGA-PBE.

Properties
formation enthalpy at 0 K	-0.519	eV/atom
E above lowest polymorph	0.061	eV/atom
space-group type	Fm-3m

```
4
Lattice="0.0000 3.2837 3.2837 3.2837 0.0000 3.2837 3.2837 3.2837 0.0000" Properties=species:S:1:pos:R:3 pbc="T T T"
Tm 0.0000 0.0000 0.0000
Nb 3.2837 3.2837 3.2837
Rh 1.6419 1.6419 1.6419
Rh 4.9256 4.9256 4.9256
```